w.
{"formula": "LiSc2Au", "functional": "PBE", "state": "relaxed", "lattice_angstrom": [[-3.907, 0.658, -2.532], [2.333, -1.183, -3.907], [-0.880, -3.346, 0.488]], "species": ["Au", "Li", "Sc", "Sc"], "frac_coords": [[0.500, 0.500, 0.000], [0.000, 0.000, 0.000], [0.500, 0.000, 0.500], [0.000, 0.500, 0.500]]}

x.
{"formula": "LiSc2Au", "functional": "PBE", "state": "relaxed", "lattice_angstrom": [[2.904, -2.424, 2.780], [-1.719, -3.221, 2.951], [0.757, -4.563, -0.805]], "species": ["Au", "Li", "Sc", "Sc"], "frac_coords": [[0.250, 0.250, 0.250], [0.500, 0.500, 0.500], [0.000, 0.000, 0.000], [0.750, 0.750, 0.750]]}

Result of the stability comparison: w is the most stable of them.

w.
{"formula": "LiSc2Au", "functional": "PBE", "state": "relaxed", "lattice_angstrom": [[6.654, 0.000, 0.002], [0.000, 7.006, 0.000], [0.002, 0.000, 6.654]], "species": ["Au", "Au", "Au", "Au", "Li", "Li", "Li", "Li", "Sc", "Sc", "Sc", "Sc", "Sc", "Sc", "Sc", "Sc"], "frac_coords": [[0.002, 0.250, 0.000], [0.998, 0.750, 0.000], [0.498, 0.250, 0.500], [0.502, 0.750, 0.500], [0.497, 0.250, 0.000], [0.503, 0.750, 0.000], [0.997, 0.750, 0.500], [0.003, 0.250, 0.500], [0.750, 0.001, 0.250], [0.750, 0.499, 0.250], [0.250, 0.501, 0.250], [0.250, 0.999, 0.250], [0.750, 0.001, 0.750], [0.750, 0.499, 0.750], [0.250, 0.501, 0.750], [0.250, 0.999, 0.750]]}

x.
{"formula": "LiSc2Au", "functional": "PBE", "state": "relaxed", "lattice_angstrom": [[0.021, 3.216, -3.538], [-0.160, -4.669, -1.015], [-8.262, 0.245, 0.173]], "species": ["Au", "Au", "Li", "Li", "Sc", "Sc", "Sc", "Sc"], "frac_coords": [[0.333, 0.667, 0.250], [0.667, 0.333, 0.750], [0.000, 0.000, 0.000], [0.000, 0.000, 0.500], [0.667, 0.333, 0.086], [0.667, 0.333, 0.414], [0.333, 0.667, 0.586], [0.333, 0.667, 0.914]]}

Result of the stability comparison: w is the most stable of them.

w.
{"formula": "LiSc2Au", "functional": "PBE", "state": "relaxed", "lattice_angstrom": [[2.181, -3.777, 0.000], [2.181, 3.777, 0.000], [0.000, 0.000, 10.208]], "species": ["Au", "Au", "Li", "Li", "Sc", "Sc", "Sc", "Sc"], "frac_coords": [[0.000, 0.000, 0.250], [0.000, 0.000, 0.750], [0.667, 0.333, 0.250], [0.333, 0.667, 0.750], [0.333, 0.667, 0.102], [0.333, 0.667, 0.398], [0.667, 0.333, 0.602], [0.667, 0.333, 0.898]]}

x.
{"formula": "LiSc2Au", "functional": "PBE", "state": "relaxed", "lattice_angstrom": [[-3.685, 1.058, -2.463], [2.460, -3.689, -1.049], [-5.987, -5.827, 6.453]], "species": ["Au", "Au", "Li", "Li", "Sc", "Sc", "Sc", "Sc"], "frac_coords": [[0.000, 0.000, 0.000], [0.000, 0.000, 0.500], [0.333, 0.667, 0.250], [0.667, 0.333, 0.750], [0.667, 0.333, 0.089], [0.667, 0.333, 0.411], [0.333, 0.667, 0.589], [0.333, 0.667, 0.911]]}

y.
{"formula": "LiSc2Au", "functional": "PBE", "state": "relaxed", "lattice_angstrom": [[4.778, 0.000, 0.000], [0.000, 6.757, 0.000], [0.000, 0.000, 14.333]], "species": ["Au", "Au", "Au", "Au", "Au", "Au", "Li", "Li", "Li", "Li", "Li", "Li", "Sc", "Sc", "Sc", "Sc", "Sc", "Sc", "Sc", "Sc", "Sc", "Sc", "Sc", "Sc"], "frac_coords": [[0.000, 0.500, 0.000], [0.500, 0.000, 0.167], [0.000, 0.500, 0.333], [0.500, 0.000, 0.500], [0.000, 0.500, 0.667], [0.500, 0.000, 0.833], [0.000, 0.000, 0.000], [0.499, 0.500, 0.167], [0.999, 0.000, 0.333], [0.500, 0.500, 0.500], [0.001, 0.000, 0.667], [0.501, 0.500, 0.833], [0.500, 0.250, 0.000], [0.500, 0.750, 0.000], [0.999, 0.250, 0.167], [0.999, 0.750, 0.167], [0.499, 0.250, 0.333], [0.499, 0.750, 0.333], [0.000, 0.250, 0.500], [0.000, 0.750, 0.500], [0.501, 0.250, 0.667], [0.501, 0.750, 0.667], [0.001, 0.250, 0.833], [0.001, 0.750, 0.833]]}

Result of the stability comparison: y is the most stable of them.

w.
{"formula": "LiSnAu3Se4", "functional": "PBE", "state": "relaxed", "lattice_angstrom": [[6.117, 0.000, 0.000], [0.000, 6.117, 0.000], [0.000, 0.000, 6.117]], "species": ["Au", "Au", "Au", "Li", "Se", "Se", "Se", "Se", "Sn"], "frac_coords": [[0.500, 0.500, 0.000], [0.500, 0.000, 0.500], [0.000, 0.500, 0.500], [0.000, 0.000, 0.000], [0.233, 0.233, 0.233], [0.767, 0.767, 0.233], [0.767, 0.233, 0.767], [0.233, 0.767, 0.767], [0.500, 0.500, 0.500]]}

x.
{"formula": "LiSnAu3Se4", "functional": "PBE", "state": "relaxed", "lattice_angstrom": [[6.319, 0.000, 0.000], [0.000, 8.704, 0.000], [-1.021, 0.000, 8.526]], "species": ["Au", "Au", "Au", "Au", "Au", "Au", "Li", "Li", "Se", "Se", "Se", "Se", "Se", "Se", "Se", "Se", "Sn", "Sn"], "frac_coords": [[0.232, 0.750, 0.130], [0.322, 0.581, 0.431], [0.322, 0.919, 0.431], [0.678, 0.081, 0.569], [0.678, 0.419, 0.569], [0.768, 0.250, 0.870], [0.744, 0.250, 0.204], [0.256, 0.750, 0.796], [0.096, 0.250, 0.065], [0.537, 0.515, 0.210], [0.537, 0.985, 0.210], [0.980, 0.250, 0.493], [0.020, 0.750, 0.507], [0.463, 0.015, 0.790], [0.463, 0.485, 0.790], [0.904, 0.750, 0.935], [0.798, 0.750, 0.218], [0.202, 0.250, 0.782]]}

Result of the stability comparison: x is the most stable of them.

w.
{"formula": "LiTbAu3Se4", "functional": "PBE", "state": "relaxed", "lattice_angstrom": [[-4.875, -3.282, 1.732], [3.413, -7.076, -3.804], [6.379, -1.031, 7.641]], "species": ["Au", "Au", "Au", "Au", "Au", "Au", "Li", "Li", "Se", "Se", "Se", "Se", "Se", "Se", "Se", "Se", "Tb", "Tb"], "frac_coords": [[0.153, 0.750, 0.199], [0.208, 0.579, 0.478], [0.208, 0.921, 0.478], [0.792, 0.079, 0.522], [0.792, 0.421, 0.522], [0.847, 0.250, 0.801], [0.225, 0.250, 0.184], [0.775, 0.750, 0.816], [0.762, 0.750, 0.063], [0.413, 0.507, 0.292], [0.413, 0.993, 0.292], [0.010, 0.250, 0.395], [0.990, 0.750, 0.605], [0.587, 0.007, 0.708], [0.587, 0.493, 0.708], [0.238, 0.250, 0.937], [0.713, 0.750, 0.327], [0.287, 0.250, 0.673]]}

x.
{"formula": "LiTbAu3Se4", "functional": "PBE", "state": "relaxed", "lattice_angstrom": [[-1.702, -5.249, -2.783], [5.706, -2.251, 0.755], [-1.655, -2.361, 5.466]], "species": ["Au", "Au", "Au", "Li", "Se", "Se", "Se", "Se", "Tb"], "frac_coords": [[0.500, 0.500, 0.000], [0.500, 0.000, 0.500], [0.000, 0.500, 0.500], [0.000, 0.000, 0.000], [0.243, 0.243, 0.243], [0.757, 0.757, 0.243], [0.757, 0.243, 0.757], [0.243, 0.757, 0.757], [0.500, 0.500, 0.500]]}

Result of the stability comparison: x is the most stable of them.

w.
{"formula": "LiZrAuSe3", "functional": "PBE", "state": "relaxed", "lattice_angstrom": [[-3.354, -0.979, 6.755], [0.454, -3.828, -0.329], [8.938, 0.871, 2.193]], "species": ["Au", "Au", "Li", "Li", "Se", "Se", "Se", "Se", "Se", "Se", "Zr", "Zr"], "frac_coords": [[0.618, 0.750, 0.086], [0.382, 0.250, 0.914], [0.233, 0.250, 0.201], [0.767, 0.750, 0.799], [0.826, 0.250, 0.029], [0.581, 0.750, 0.357], [0.086, 0.750, 0.364], [0.914, 0.250, 0.636], [0.419, 0.250, 0.643], [0.174, 0.750, 0.971], [0.818, 0.250, 0.323], [0.182, 0.750, 0.677]]}

x.
{"formula": "LiZrAuSe3", "functional": "PBE", "state": "relaxed", "lattice_angstrom": [[-4.714, 6.595, -9.941], [-2.468, -2.855, -0.724], [-7.164, 4.563, 6.424]], "species": ["Au", "Au", "Au", "Au", "Li", "Li", "Li", "Li", "Se", "Se", "Se", "Se", "Se", "Se", "Se", "Se", "Se", "Se", "Se", "Se", "Zr", "Zr", "Zr", "Zr"], "frac_coords": [[0.515, 0.750, 0.098], [0.015, 0.750, 0.402], [0.985, 0.250, 0.598], [0.485, 0.250, 0.902], [0.722, 0.250, 0.059], [0.222, 0.250, 0.441], [0.778, 0.750, 0.559], [0.278, 0.750, 0.941], [0.889, 0.750, 0.059], [0.367, 0.250, 0.131], [0.151, 0.750, 0.230], [0.651, 0.750, 0.270], [0.867, 0.250, 0.369], [0.389, 0.750, 0.441], [0.611, 0.250, 0.559], [0.133, 0.750, 0.631], [0.349, 0.250, 0.730], [0.849, 0.250, 0.770], [0.633, 0.750, 0.869], [0.111, 0.250, 0.941], [0.005, 0.250, 0.179], [0.505, 0.250, 0.321], [0.495, 0.750, 0.679], [0.995, 0.750, 0.821]]}

y.
{"formula": "LiZrAuSe3", "functional": "PBE", "state": "relaxed", "lattice_angstrom": [[1.904, -6.631, 0.000], [1.904, 6.631, 0.000], [0.000, 0.000, 10.399]], "species": ["Au", "Au", "Li", "Li", "Se", "Se", "Se", "Se", "Se", "Se", "Zr", "Zr"], "frac_coords": [[0.540, 0.460, 0.250], [0.460, 0.540, 0.750], [0.216, 0.784, 0.250], [0.784, 0.216, 0.750], [0.644, 0.356, 0.045], [0.900, 0.100, 0.250], [0.644, 0.356, 0.455], [0.356, 0.644, 0.545], [0.100, 0.900, 0.750], [0.356, 0.644, 0.955], [0.000, 0.000, 0.000], [0.000, 0.000, 0.500]]}

Result of the stability comparison: w is the most stable of them.

w.
{"formula": "LiSnTe4Au3", "functional": "PBE", "state": "relaxed", "lattice_angstrom": [[-2.838, 4.675, 3.431], [-5.718, -1.621, -2.522], [-0.965, -4.147, 4.853]], "species": ["Au", "Au", "Au", "Li", "Sn", "Te", "Te", "Te", "Te"], "frac_coords": [[0.500, 0.500, 0.000], [0.500, 0.000, 0.500], [0.000, 0.500, 0.500], [0.000, 0.000, 0.000], [0.500, 0.500, 0.500], [0.235, 0.235, 0.235], [0.765, 0.765, 0.235], [0.765, 0.235, 0.765], [0.235, 0.765, 0.765]]}

x.
{"formula": "LiSnTe4Au3", "functional": "PBE", "state": "relaxed", "lattice_angstrom": [[6.446, 0.000, 0.000], [0.000, 9.052, 0.000], [-1.086, 0.000, 8.931]], "species": ["Au", "Au", "Au", "Au", "Au", "Au", "Li", "Li", "Sn", "Sn", "Te", "Te", "Te", "Te", "Te", "Te", "Te", "Te"], "frac_coords": [[0.197, 0.750, 0.196], [0.307, 0.578, 0.472], [0.307, 0.922, 0.472], [0.693, 0.078, 0.528], [0.693, 0.422, 0.528], [0.803, 0.250, 0.804], [0.652, 0.250, 0.074], [0.348, 0.750, 0.926], [0.784, 0.750, 0.262], [0.216, 0.250, 0.738], [0.099, 0.250, 0.050], [0.487, 0.507, 0.220], [0.487, 0.993, 0.220], [0.992, 0.250, 0.430], [0.008, 0.750, 0.570], [0.513, 0.007, 0.780], [0.513, 0.493, 0.780], [0.901, 0.750, 0.950]]}

Result of the stability comparison: x is the most stable of them.

w.
{"formula": "LiZrSnAu", "functional": "PBE", "state": "relaxed", "lattice_angstrom": [[0.000, 3.406, 3.406], [3.406, 0.000, 3.406], [3.406, 3.406, 0.000]], "species": ["Au", "Li", "Sn", "Zr"], "frac_coords": [[0.000, 0.000, 0.000], [0.750, 0.750, 0.750], [0.500, 0.500, 0.500], [0.250, 0.250, 0.250]]}

x.
{"formula": "LiZrSnAu", "functional": "PBE", "state": "relaxed", "lattice_angstrom": [[-3.296, -1.590, 3.059], [-4.207, 2.221, 0.339], [-3.951, -2.112, -1.637]], "species": ["Au", "Li", "Sn", "Zr"], "frac_coords": [[0.000, 0.000, 0.000], [0.750, 0.750, 0.750], [0.250, 0.250, 0.250], [0.500, 0.500, 0.500]]}

y.
{"formula": "LiZrSnAu", "functional": "PBE", "state": "relaxed", "lattice_angstrom": [[-2.436, -3.934, 1.171], [0.750, -2.104, 4.218], [-3.353, 0.190, 3.391]], "species": ["Au", "Li", "Sn", "Zr"], "frac_coords": [[0.250, 0.250, 0.250], [0.750, 0.750, 0.750], [0.500, 0.500, 0.500], [0.000, 0.000, 0.000]]}

Result of the stability comparison: w is the most stable of them.

w.
{"formula": "LiTbAu", "functional": "PBE", "state": "relaxed", "lattice_angstrom": [[4.051, 0.000, 0.000], [0.000, 4.051, 0.000], [0.000, 0.000, 8.043]], "species": ["Au", "Au", "Li", "Li", "Tb", "Tb"], "frac_coords": [[0.000, 0.500, 0.245], [0.500, 0.000, 0.755], [0.000, 0.000, 0.500], [0.500, 0.500, 0.500], [0.500, 0.000, 0.153], [0.000, 0.500, 0.847]]}

x.
{"formula": "LiTbAu", "functional": "PBE", "state": "relaxed", "lattice_angstrom": [[0.000, 3.184, 3.184], [3.184, 0.000, 3.184], [3.184, 3.184, 0.000]], "species": ["Au", "Li", "Tb"], "frac_coords": [[0.250, 0.250, 0.250], [0.000, 0.000, 0.000], [0.750, 0.750, 0.750]]}

Result of the stability comparison: w is the most stable of them.